# 1
Entry from the Alexandria database: a geometry-optimized Ac2Ag3 structure (PBE).

abc: 4.0777 4.9104 14.7904
angles: 90.00 97.92 90.00
Fractional positions:
Ac: 0.4287 0.2500 0.8574
Ac: 0.5713 0.7500 0.1426
Ac: 0.2949 0.7500 0.5899
Ac: 0.7051 0.2500 0.4101
Ag: 0.8823 0.7500 0.7646
Ag: 0.1177 0.2500 0.2354
Ag: 0.1711 0.7500 0.3421
Ag: 0.9772 0.7500 0.9543
Ag: 0.0228 0.2500 0.0457
Ag: 0.8289 0.2500 0.6579

**Formation enthalpy at 0 K**: -280 meV/atom
**E_tot**: -3.634 eV per atom
**Crystal system**: orthorhombic
**Calculated density**: 8804 kg/m3
**ΔE to the lowest computed polymorph**: 0.000 eV/atom

---

# 2
Entry from the Alexandria database: a geometry-optimized Th2ZnIn2 structure (PBE).

abc: 3.6102 4.7719 7.9638
angles: 107.43 90.00 90.00
Fractional positions:
In: 0.5000 0.5118 0.0236
In: 0.5000 0.3038 0.6075
Th: 0.0000 0.9265 0.8530
Th: 0.0000 0.6914 0.3828
Zn: 0.5000 0.1086 0.2172

**Formation enthalpy at 0 K**: -284 meV/atom
**E_tot**: -4.603 eV per atom
**Crystal system**: orthorhombic
**Calculated density**: 9630 kg/m3

---

# 3
Entry from the Alexandria database: a geometry-optimized Sr2LiPt structure (PBE).

abc: 3.7986 3.7986 8.4104
angles: 90.00 90.00 90.00
Fractional positions:
Pt: 0.5000 0.5000 0.7500
Sr: 0.0000 0.0000 0.5427
Sr: 0.0000 0.0000 0.9573
Li: 0.5000 0.5000 0.2500

**Formation enthalpy at 0 K**: -409 meV/atom
**E_tot**: -3.239 eV per atom
**Crystal system**: tetragonal
**Calculated density**: 5162 kg/m3
**ΔE to the lowest computed polymorph**: 0.104 eV/atom

---

# 4
Entry from the Alexandria database: a geometry-optimized ThBeGe2 structure (PBE).

abc: 4.2021 4.2021 8.9270
angles: 90.25 90.25 90.01
Fractional positions:
Ge: 0.7528 0.7528 0.8851
Ge: 0.7499 0.2501 0.5000
Ge: 0.2472 0.2472 0.1149
Ge: 0.2501 0.7499 0.5000
Be: 0.7515 0.7515 0.6383
Be: 0.2485 0.2485 0.3617
Th: 0.7476 0.7476 0.2179
Th: 0.2524 0.2524 0.7821

**Formation enthalpy at 0 K**: -350 meV/atom
**E_tot**: -5.445 eV per atom
**Crystal system**: monoclinic
**Calculated density**: 8140 kg/m3

---

# 5
Entry from the Alexandria database: a geometry-optimized Li4Ag5Au2 structure (PBE).

abc: 4.0994 10.1342 5.0023
angles: 77.18 114.19 90.00
Fractional positions:
Au: 0.5896 0.3559 0.1793
Au: 0.4104 0.6441 0.8207
Ag: 0.2225 0.9077 0.4450
Ag: 0.5000 0.0000 0.0000
Ag: 0.7775 0.0923 0.5550
Ag: 0.8643 0.4478 0.7285
Ag: 0.1357 0.5522 0.2715
Li: 0.6898 0.7209 0.3795
Li: 0.3103 0.2791 0.6205
Li: 0.9480 0.8208 0.8960
Li: 0.0520 0.1792 0.1040

**Formation enthalpy at 0 K**: -258 meV/atom
**E_tot**: -2.846 eV per atom
**Crystal system**: monoclinic
**Calculated density**: 8679 kg/m3
**ΔE to the lowest computed polymorph**: 0.000 eV/atom

---

# 6
Entry from the Alexandria database: a geometry-optimized HgCl4 structure (PBE).

abc: 5.2044 5.2044 5.2044
angles: 90.00 90.00 90.00
Each line ends with the local moment (μB).
Fractional positions:
Cl: 0.0000 0.0000 0.0000  0.74
Cl: 0.5000 0.5000 0.0000  0.17
Cl: 0.5000 0.0000 0.5000  0.17
Cl: 0.0000 0.5000 0.5000  0.17
Hg: 0.5000 0.5000 0.5000  0.02

**E_tot**: -1.399 eV per atom
**Crystal system**: cubic
**Calculated density**: 4033 kg/m3

---

# 7
Entry from the Alexandria database: a geometry-optimized Na2Tl4HgPb structure (PBE).

abc: 4.0955 7.6143 16.6196
angles: 90.00 90.00 105.60
Fractional positions:
Na: 0.3398 0.6796 0.5996
Na: 0.6602 0.3204 0.0996
Na: 0.3398 0.6796 0.9004
Na: 0.6602 0.3204 0.4004
Tl: 0.5032 0.0065 0.2500
Tl: 0.6476 0.2952 0.9083
Tl: 0.6476 0.2952 0.5917
Tl: 0.3524 0.7048 0.0917
Tl: 0.4968 0.9935 0.7500
Tl: 0.3524 0.7048 0.4083
Tl: 0.0000 0.0000 0.0000
Tl: 0.0000 0.0000 0.5000
Hg: 0.8356 0.6712 0.7500
Hg: 0.1644 0.3288 0.2500
Pb: 0.8267 0.6534 0.2500
Pb: 0.1733 0.3466 0.7500

**Formation enthalpy at 0 K**: -28 meV/atom
**E_tot**: -2.042 eV per atom
**Crystal system**: orthorhombic
**Calculated density**: 8458 kg/m3

---

# 8
Entry from the Alexandria database: a geometry-optimized LaDy4Au5 structure (PBE).

abc: 3.6014 3.6014 18.4899
angles: 90.00 90.00 90.00
Fractional positions:
Dy: 0.0000 0.0000 0.5981
Dy: 0.0000 0.0000 0.4019
Dy: 0.0000 0.0000 0.7942
Dy: 0.0000 0.0000 0.2058
La: 0.0000 0.0000 0.0000
Au: 0.5000 0.5000 0.1144
Au: 0.5000 0.5000 0.5000
Au: 0.5000 0.5000 0.8856
Au: 0.5000 0.5000 0.3043
Au: 0.5000 0.5000 0.6957

**Formation enthalpy at 0 K**: -847 meV/atom
**E_tot**: -4.819 eV per atom
**Crystal system**: tetragonal
**Calculated density**: 12282 kg/m3